#P
## RuPb5 (PBE)

Data for RuPb5 after structural relaxation.

a = 6.3266 Å, b = 6.3266 Å, c = 6.3266 Å
α = 60.00°, β = 60.00°, γ = 60.00°
Fractional positions:
1 Ru 0.0000 0.0000 0.0000
2 Pb 0.6255 0.6255 0.6255
3 Pb 0.6255 0.6255 0.1234
4 Pb 0.2500 0.2500 0.2500
5 Pb 0.6255 0.1234 0.6255
6 Pb 0.1234 0.6255 0.6255


#Q
## RuPb5 (PBE)

Data for RuPb5 after structural relaxation.

a = 5.9123 Å, b = 5.9123 Å, c = 5.2917 Å
α = 90.00°, β = 90.00°, γ = 120.00°
Fractional positions:
1 Pb 0.0000 0.6902 0.0000
2 Pb 0.3098 0.3098 0.0000
3 Pb 0.6902 0.0000 0.0000
4 Pb 0.6667 0.3333 0.5000
5 Pb 0.3333 0.6667 0.5000
6 Ru 0.0000 0.0000 0.5000


Most stable one: #Q, least stable one: #P.


#P
## RuPb5 (PBE)

Data for RuPb5 after structural relaxation.

a = 8.5105 Å, b = 8.5105 Å, c = 5.4570 Å
α = 90.00°, β = 90.00°, γ = 155.34°
Fractional positions:
1 Pb 0.6520 0.3480 0.0000
2 Pb 0.9980 0.0020 0.0000
3 Pb 0.3321 0.6679 0.0000
4 Pb 0.7575 0.2425 0.5000
5 Pb 0.4802 0.5198 0.5000
6 Ru 0.1136 0.8864 0.5000


#Q
## RuPb5 (PBE)

Data for RuPb5 after structural relaxation.

a = 7.1816 Å, b = 7.1816 Å, c = 5.0268 Å
α = 90.00°, β = 90.00°, γ = 140.89°
Fractional positions:
1 Pb 0.6516 0.3484 0.5000
2 Pb 0.1416 0.8584 0.0000
3 Pb 0.3484 0.6516 0.5000
4 Pb 0.0000 0.0000 0.5000
5 Pb 0.8584 0.1416 0.0000
6 Ru 0.5000 0.5000 0.0000


Most stable one: #P, least stable one: #Q.


#P
## Ru4Pb3 (PBE)

Data for Ru4Pb3 after structural relaxation.

a = 6.0970 Å, b = 6.0970 Å, c = 4.5443 Å
α = 90.00°, β = 90.00°, γ = 120.00°
Fractional positions:
1 Ru 0.3333 0.6667 0.5000
2 Ru 0.0000 0.0000 0.7488
3 Ru 0.0000 0.0000 0.2512
4 Ru 0.6667 0.3333 0.5000
5 Pb 0.5000 0.5000 0.0000
6 Pb 0.5000 0.0000 0.0000
7 Pb 0.0000 0.5000 0.0000


#Q
## Ru4Pb3 (PBE)

Data for Ru4Pb3 after structural relaxation.

a = 15.7084 Å, b = 15.7084 Å, c = 15.7084 Å
α = 169.01°, β = 169.01°, γ = 15.56°
Fractional positions:
1 Ru 0.1196 0.1196 0.0000
2 Ru 0.5713 0.5713 0.0000
3 Ru 0.4287 0.4287 0.0000
4 Ru 0.8804 0.8804 0.0000
5 Pb 0.6907 0.6907 0.0000
6 Pb 0.0000 0.0000 0.0000
7 Pb 0.3093 0.3093 0.0000


Most stable one: #Q, least stable one: #P.